(1)
Compound: In2TcNiPb
Source: the Alexandria database
Functional: GGA-PBE
Structure: relaxed

abc: 4.879 4.879 4.919
angles: 90.00 90.00 90.00
Space group P4/mmm (No. 123)
Symmetry-distinct sites (fractional):
In 0.000 0.500 0.000 [2 per cell]
Tc 0.000 0.000 0.500 [1 per cell]
Ni 0.000 0.000 0.000 [1 per cell]
Pb 0.500 0.500 0.500 [1 per cell]

The value obtained for the energy relative to the elements is 0.567 eV/atom. The calculated volume is 23.42 Å³ per atom.

***

(2)
Compound: Tl2InNiPb
Source: the Alexandria database
Functional: GGA-PBE
Structure: relaxed

abc: 5.148 5.148 5.099
angles: 90.00 90.00 90.00
Space group P4/mmm (No. 123)
Symmetry-distinct sites (fractional):
Tl 0.000 0.500 0.000 [2 per cell]
In 0.000 0.000 0.500 [1 per cell]
Ni 0.000 0.000 0.000 [1 per cell]
Pb 0.500 0.500 0.500 [1 per cell]

The value obtained for the energy relative to the elements is 0.143 eV/atom. For the energy above the most stable polymorph in this dataset, the calculation gives 10 meV/atom. The calculated volume is 27.03 Å³ per atom.